# BaIrBr

A relaxed BaIrBr crystal (PBE, Alexandria via LeMat-Bulk).

Unit cell a=4.5257 b=4.5257 c=4.4571 alpha=90.00 beta=90.00 gamma=120.00
Closest atoms and distances in Å follow each position.
Atoms (fractional coordinates):
1 Ir 0.3333 0.6667 0.5000  3 Br 2.61
2 Ba 0.0000 0.0000 0.9999  6 Br 3.43, 6 Ir 3.43
3 Br 0.6667 0.3333 0.5001  3 Ir 2.61

Values from the calculation:
- M_tot: 0.00 μB/f.u.
- Final energy: -4.381 eV/atom
- Crystal system: hexagonal
- Polymorph energy (0 for the lowest one): 0.783 eV per atom
- SG: No. 187
- DOS(E_F): 1.10 states/eV/cell

# BaIrBr

A relaxed BaIrBr crystal (PBE, Alexandria via LeMat-Bulk).

Unit cell a=5.4451 b=5.4451 c=9.4224 alpha=90.00 beta=90.00 gamma=120.00
Closest atoms and distances in Å follow each position.
Atoms (fractional coordinates):
1 Ir 0.0000 0.0000 0.0000  2 Br 2.36
2 Ir 0.0000 0.0000 0.5000  2 Br 2.36
3 Ba 0.3333 0.6667 0.2500  3 Br 3.14
4 Ba 0.6667 0.3333 0.7500  3 Br 3.14
5 Br 0.0000 0.0000 0.2500  2 Ir 2.36
6 Br 0.0000 0.0000 0.7500  2 Ir 2.36

Values from the calculation:
- M_tot: 0.00 μB/f.u.
- Final energy: -4.000 eV/atom
- Crystal system: hexagonal
- Polymorph energy (0 for the lowest one): 1.164 eV per atom
- SG: No. 194
- DOS(E_F): 2.82 states/eV/cell

# BaIrBr4

A relaxed BaIrBr4 crystal (PBE, Alexandria via LeMat-Bulk).

Unit cell a=6.4437 b=6.4437 c=6.4437 alpha=60.00 beta=60.00 gamma=60.00
Closest atoms and distances in Å follow each position.
Atoms (fractional coordinates):
1 Ba 0.0000 0.0000 0.0000  12 Br 3.78, 4 Ir 3.95
2 Ir 0.7500 0.7500 0.7500  12 Br 3.78, 4 Ba 3.95
3 Br 0.8737 0.3754 0.3754  6 Br 3.21-3.23
4 Br 0.3754 0.3754 0.8737  6 Br 3.21-3.23
5 Br 0.3754 0.8737 0.3754  6 Br 3.21-3.23
6 Br 0.3754 0.3754 0.3754  6 Br 3.21-3.23

Values from the calculation:
- M_tot: 4.92 μB/f.u.
- Final energy: -2.551 eV/atom
- Crystal system: cubic
- SG: No. 216
- DOS(E_F): 8.95 states/eV/cell

# Ba8IrBr2

A relaxed Ba8IrBr2 crystal (PBE, Alexandria via LeMat-Bulk).

Unit cell a=7.4312 b=9.1294 c=9.1294 alpha=73.92 beta=92.40 gamma=92.40
Closest atoms and distances in Å follow each position.
Atoms (fractional coordinates):
1 Ba 0.7937 0.9017 0.2993  1 Ir 3.08, 1 Br 3.42
2 Ba 0.2063 0.7007 0.0983  1 Ir 3.08, 1 Br 3.42
3 Ba 0.7169 0.8411 0.8411  1 Ir 3.05
4 Ba 0.2831 0.1589 0.1589  1 Ir 3.05
5 Ba 0.7937 0.2993 0.9017  1 Ir 3.08, 1 Br 3.42
6 Ba 0.2063 0.0983 0.7007  1 Ir 3.08, 1 Br 3.42
7 Ba 0.2228 0.6204 0.6204  2 Br 3.38-3.40
8 Ba 0.7772 0.3796 0.3796  2 Br 3.38-3.40
9 Ir 0.0000 0.0000 0.0000  6 Ba 3.05-3.08
10 Br 0.6743 0.6041 0.6041  5 Ba 3.38-3.46
11 Br 0.3257 0.3959 0.3959  5 Ba 3.38-3.46

Values from the calculation:
- M_tot: 0.80 μB/f.u.
- Final energy: -3.103 eV/atom
- Crystal system: monoclinic
- SG: No. 12
- DOS(E_F): 11.35 states/eV/cell

# BaIrBr

A relaxed BaIrBr crystal (PBE, Alexandria via LeMat-Bulk).

Unit cell a=6.4085 b=7.4933 c=4.6522 alpha=71.92 beta=111.28 gamma=97.29
Closest atoms and distances in Å follow each position.
Atoms (fractional coordinates):
1 Ir 0.8802 0.2592 0.3743  1 Ir 2.48, 1 Br 2.57
2 Ir 0.6594 0.9620 0.4124  2 Br 2.47, 1 Ir 2.48
3 Ba 0.7122 0.5057 0.6672  3 Ir 3.09-3.27, 1 Br 3.37
4 Ba 0.1048 0.0272 0.1026  3 Ir 3.16-3.35, 2 Br 3.45-3.48
5 Br 0.5382 0.9030 0.8813  2 Ir 2.47
6 Br 0.1500 0.5443 0.3669  1 Ir 2.57

Values from the calculation:
- M_tot: 0.00 μB/f.u.
- Final energy: -4.629 eV/atom
- Crystal system: monoclinic
- Polymorph energy (0 for the lowest one): 0.536 eV per atom
- SG: No. 8
- DOS(E_F): 1.86 states/eV/cell

# Ba5Ir2Br2

A relaxed Ba5Ir2Br2 crystal (PBE, Alexandria via LeMat-Bulk).

Unit cell a=8.6735 b=8.6701 c=9.6622 alpha=90.00 beta=63.33 gamma=90.00
Closest atoms and distances in Å follow each position.
Atoms (fractional coordinates):
1 Ba 0.0000 0.0000 0.0000  4 Ir 3.34-3.35, 2 Br 3.54
2 Ba 0.5000 0.5000 0.0000  4 Ir 3.34-3.35, 2 Br 3.54
3 Ba 0.4599 0.1553 0.7673  3 Ir 3.20-3.27
4 Ba 0.7728 0.8447 0.7673  3 Ir 3.20-3.27
5 Ba 0.2728 0.6553 0.7673  3 Ir 3.20-3.27
6 Ba 0.9599 0.3447 0.7673  3 Ir 3.20-3.27
7 Ba 0.5401 0.8447 0.2327  3 Ir 3.20-3.27
8 Ba 0.2272 0.1553 0.2327  3 Ir 3.20-3.27
9 Ba 0.7272 0.3447 0.2327  3 Ir 3.20-3.27
10 Ba 0.0401 0.6553 0.2327  3 Ir 3.20-3.27
11 Ir 0.1408 0.3596 0.0000  8 Ba 3.20-3.35, 1 Ir 3.45
12 Ir 0.8592 0.6404 0.0000  8 Ba 3.20-3.35, 1 Ir 3.45
13 Ir 0.3592 0.8596 0.0000  8 Ba 3.20-3.35, 1 Ir 3.45
14 Ir 0.6408 0.1404 0.0000  8 Ba 3.20-3.35, 1 Ir 3.45
15 Br 0.2050 0.0000 0.5900  7 Ba 3.54-3.63
16 Br 0.7050 0.5000 0.5900  7 Ba 3.54-3.63
17 Br 0.7950 0.0000 0.4100  7 Ba 3.54-3.63
18 Br 0.2950 0.5000 0.4100  7 Ba 3.54-3.63

Values from the calculation:
- M_tot: 0.00 μB/f.u.
- Final energy: -4.189 eV/atom
- Crystal system: orthorhombic
- SG: No. 64
- DOS(E_F): 13.46 states/eV/cell

Question: The highest M_tot belongs to which entry?
Answer: BaIrBr4

Question: Which value of M_tot does entry 1 give?
Answer: 0.00 μB/f.u.